(1)
Material: Y6MgAg5
Method: DFT, GGA-PBE
State: relaxed

Unit cell a=5.194 b=7.283 c=9.005 alpha=113.86 beta=106.76 gamma=90.00
Fractional coordinates of all 12 atoms:
1 Y 0.170 0.917 0.340
2 Y 0.170 0.424 0.340
3 Y 0.500 0.259 0.000
4 Y 0.830 0.083 0.660
5 Y 0.500 0.741 0.000
6 Y 0.830 0.576 0.660
7 Ag 0.344 0.844 0.688
8 Ag 0.000 0.500 0.000
9 Ag 0.667 0.667 0.334
10 Ag 0.656 0.156 0.312
11 Ag 0.333 0.333 0.666
12 Mg 0.000 0.000 0.000

Results
As for the formation energy: -27.5 kJ per mole of atoms. The space group is Immm. Its crystal system is orthorhombic. The value obtained for the total energy is -4.84 eV/atom.

---

(2)
Material: TcAg2P
Method: DFT, GGA-PBE
State: relaxed

Unit cell a=3.716 b=3.716 c=4.643 alpha=90.00 beta=90.00 gamma=90.00
Site moments in Bohr magnetons follow the coordinates.
Fractional coordinates of all 4 atoms:
1 Tc 0.000 0.000 0.500  0.97
2 Ag 0.000 0.500 0.000  0.01
3 Ag 0.500 0.000 0.000  0.01
4 P 0.500 0.500 0.500  0.01

Results
As for the formation energy: 44.6 kJ per mole of atoms. The space group is P4/mmm. Its crystal system is tetragonal. The value obtained for the total energy is -4.91 eV/atom.

---

(3)
Material: ZrReH
Method: DFT, GGA-PBE
State: relaxed

Unit cell a=3.384 b=9.276 c=5.994 alpha=90.00 beta=123.46 gamma=90.00
Fractional coordinates of all 12 atoms:
1 Zr 0.503 0.612 0.749
2 Zr 0.503 0.112 0.249
3 Zr 0.497 0.112 0.751
4 Zr 0.497 0.612 0.251
5 H 0.500 0.956 0.500
6 H 0.000 0.764 0.500
7 H 0.000 0.264 0.000
8 H 0.500 0.456 0.000
9 Re 0.021 0.361 0.288
10 Re 0.979 0.861 0.212
11 Re 0.979 0.361 0.712
12 Re 0.021 0.861 0.788

Results
The space group is C2. Its crystal system is monoclinic. The value obtained for the total energy is -8.16 eV/atom.

---

(4)
Material: Sc2Au2Se
Method: DFT, GGA-PBE
State: relaxed

Unit cell a=7.589 b=7.589 c=3.597 alpha=90.00 beta=90.00 gamma=90.00
Fractional coordinates of all 10 atoms:
1 Se 0.500 0.500 0.000
2 Se 0.000 0.000 0.000
3 Sc 0.166 0.666 0.500
4 Sc 0.334 0.166 0.500
5 Sc 0.834 0.334 0.500
6 Sc 0.666 0.834 0.500
7 Au 0.630 0.130 0.000
8 Au 0.870 0.630 0.000
9 Au 0.370 0.870 0.000
10 Au 0.130 0.370 0.000

Results
The space group is P4/mbm. As for the uncorrected formation energy: -69.6 kJ/mol of atoms. Its crystal system is tetragonal. The value obtained for the total energy is -5.26 eV/atom.

---

(5)
Material: TcSbRu2
Method: DFT, GGA-PBE
State: relaxed

Unit cell a=2.945 b=3.884 c=5.559 alpha=90.00 beta=90.00 gamma=90.00
Fractional coordinates of all 4 atoms:
1 Tc 0.500 0.500 0.785
2 Ru 0.000 0.000 0.970
3 Ru 0.500 0.500 0.263
4 Sb 0.000 0.000 0.481

Results
The space group is Pmm2. As for the uncorrected formation energy: 25.7 kJ/mol of atoms. Its crystal system is orthorhombic. The value obtained for the total energy is -7.99 eV/atom.

---

(6)
Material: Cu2Cl3
Method: DFT, GGA-PBE
State: relaxed

Unit cell a=3.485 b=6.807 c=10.401 alpha=95.07 beta=90.00 gamma=104.83
Site moments in Bohr magnetons follow the coordinates.
Fractional coordinates of all 10 atoms:
1 Cl 0.897 0.793 0.226  0.06
2 Cl 0.152 0.305 0.080  0.07
3 Cl 0.848 0.695 0.920  0.07
4 Cl 0.633 0.266 0.413  -0.02
5 Cl 0.367 0.734 0.587  -0.02
6 Cl 0.103 0.207 0.774  0.06
7 Cu 0.050 0.100 0.331  -0.02
8 Cu 0.360 0.719 0.072  0.27
9 Cu 0.950 0.900 0.669  -0.02
10 Cu 0.640 0.281 0.928  0.27

Results
The space group is C2/m. As for the uncorrected formation energy: -46.5 kJ/mol of atoms. Its crystal system is monoclinic. The value obtained for the total energy is -3.23 eV/atom.

---

(7)
Material: SrAl2Ru
Method: DFT, GGA-PBE
State: relaxed

Unit cell a=9.348 b=9.348 c=9.348 alpha=19.87 beta=19.87 gamma=19.87
Site moments in Bohr magnetons follow the coordinates.
Fractional coordinates of all 4 atoms:
1 Ru 0.512 0.512 0.512  0.36
2 Al 0.241 0.241 0.241  0.00
3 Al 0.988 0.988 0.988  0.00
4 Sr 0.760 0.760 0.760  -0.01

Results
As for the formation energy: 28.8 kJ per mole of atoms. The space group is R3m. Its crystal system is trigonal. The value obtained for the total energy is -4.31 eV/atom.

---

(8)
Material: LiAl5Cu6
Method: DFT, GGA-PBE
State: relaxed

Unit cell a=4.165 b=7.276 c=7.276 alpha=119.73 beta=106.64 gamma=106.64
Fractional coordinates of all 12 atoms:
1 Al 0.000 0.667 0.333
2 Al 0.500 0.163 0.837
3 Al 0.500 0.837 0.163
4 Al 0.500 0.500 0.500
5 Al 0.000 0.333 0.667
6 Cu 0.749 0.581 0.917
7 Cu 0.749 0.917 0.581
8 Cu 0.751 0.252 0.252
9 Cu 0.251 0.083 0.419
10 Cu 0.251 0.419 0.083
11 Cu 0.249 0.748 0.748
12 Li 0.000 0.000 0.000

Results
As for the formation energy: -21.3 kJ per mole of atoms. The space group is Immm. Its crystal system is orthorhombic. The value obtained for the total energy is -3.99 eV/atom.

---

(9)
Material: Tb3ScHg7
Method: DFT, GGA-PBE
State: relaxed

Unit cell a=3.642 b=16.401 c=11.255 alpha=90.00 beta=90.00 gamma=96.37
Fractional coordinates of all 22 atoms:
1 Hg 0.275 0.550 0.428
2 Hg 0.518 0.035 0.620
3 Hg 0.275 0.550 0.072
4 Hg 0.482 0.965 0.120
5 Hg 0.613 0.226 0.250
6 Hg 0.482 0.965 0.380
7 Hg 0.387 0.774 0.750
8 Hg 0.623 0.246 0.924
9 Hg 0.377 0.754 0.076
10 Hg 0.725 0.450 0.572
11 Hg 0.518 0.035 0.880
12 Hg 0.623 0.246 0.576
13 Hg 0.725 0.450 0.928
14 Hg 0.377 0.754 0.424
15 Tb 0.178 0.357 0.750
16 Tb 0.938 0.876 0.575
17 Tb 0.062 0.124 0.075
18 Tb 0.938 0.876 0.925
19 Tb 0.822 0.643 0.250
20 Tb 0.062 0.124 0.425
21 Sc 0.075 0.150 0.750
22 Sc 0.925 0.850 0.250

Results
As for the formation energy: -20.8 kJ per mole of atoms. The space group is Cmcm. Its crystal system is orthorhombic. The value obtained for the total energy is -2.25 eV/atom.

---

(10)
Material: ZnSn2Sb3
Method: DFT, GGA-PBE
State: relaxed

Unit cell a=7.932 b=7.932 c=8.183 alpha=99.42 beta=99.42 gamma=119.96
Fractional coordinates of all 12 atoms:
1 Sn 0.421 0.587 0.513
2 Sn 0.259 0.769 0.006
3 Sn 0.587 0.421 0.013
4 Sn 0.769 0.259 0.506
5 Sb 0.369 0.886 0.384
6 Sb 0.579 0.745 0.894
7 Sb 0.188 0.046 0.860
8 Sb 0.046 0.188 0.360
9 Sb 0.745 0.579 0.394
10 Sb 0.886 0.369 0.884
11 Zn 0.942 0.105 0.015
12 Zn 0.105 0.942 0.515

Results
The space group is Cc. As for the uncorrected formation energy: 2.8 kJ/mol of atoms. Its crystal system is monoclinic. The value obtained for the total energy is -3.58 eV/atom.

---

(11)
Material: ThScCd
Method: DFT, GGA-PBE
State: relaxed

Unit cell a=3.419 b=5.343 c=8.842 alpha=90.00 beta=101.15 gamma=90.00
Fractional coordinates of all 6 atoms:
1 Th 0.775 0.250 0.550
2 Th 0.225 0.750 0.450
3 Sc 0.092 0.250 0.184
4 Sc 0.908 0.750 0.816
5 Cd 0.444 0.250 0.889
6 Cd 0.556 0.750 0.111

Results
As for the formation energy: -7.0 kJ per mole of atoms. The space group is Cmcm. Its crystal system is orthorhombic. The value obtained for the total energy is -4.96 eV/atom.

---

(12)
Material: MnFeOs4
Method: DFT, GGA-PBE
State: relaxed

Unit cell a=5.113 b=5.113 c=5.113 alpha=60.00 beta=60.00 gamma=60.00
Site moments in Bohr magnetons follow the coordinates.
Fractional coordinates of all 6 atoms:
1 Os 0.375 0.875 0.375  -0.03
2 Os 0.375 0.375 0.875  -0.03
3 Os 0.375 0.375 0.375  -0.03
4 Os 0.875 0.375 0.375  -0.03
5 Fe 0.750 0.750 0.750  3.12
6 Mn 0.000 0.000 0.000  3.71

Results
As for the formation energy: 67.5 kJ per mole of atoms. The space group is F-43m. Its crystal system is cubic. The value obtained for the total energy is -9.73 eV/atom.

---

(13)
Material: Ca2PtPb2
Method: DFT, GGA-PBE
State: relaxed

Unit cell a=4.274 b=6.561 c=10.950 alpha=93.08 beta=78.74 gamma=70.93
Fractional coordinates of all 10 atoms:
1 Pb 0.326 0.205 0.143
2 Pb 0.674 0.795 0.857
3 Pb 0.987 0.396 0.628
4 Pb 0.013 0.604 0.372
5 Pt 0.582 0.136 0.699
6 Pt 0.418 0.864 0.301
7 Ca 0.716 0.173 0.395
8 Ca 0.929 0.241 0.900
9 Ca 0.071 0.759 0.100
10 Ca 0.284 0.827 0.605

Results
As for the formation energy: -56.7 kJ per mole of atoms. The space group is C2/m. Its crystal system is monoclinic. The value obtained for the total energy is -4.08 eV/atom.

---

(14)
Material: Ac2CuSe4
Method: DFT, GGA-PBE
State: relaxed

Unit cell a=7.343 b=6.139 c=8.826 alpha=90.00 beta=107.40 gamma=90.00
Fractional coordinates of all 14 atoms:
1 Se 0.074 0.750 0.386
2 Se 0.086 0.750 0.904
3 Se 0.914 0.250 0.096
4 Se 0.490 0.991 0.741
5 Se 0.926 0.250 0.614
6 Se 0.490 0.509 0.741
7 Se 0.510 0.491 0.259
8 Se 0.510 0.009 0.259
9 Ac 0.773 0.750 0.571
10 Ac 0.227 0.250 0.429
11 Ac 0.758 0.750 0.062
12 Ac 0.242 0.250 0.938
13 Cu 0.751 0.250 0.811
14 Cu 0.249 0.750 0.189

Results
The space group is P2_1/m. As for the uncorrected formation energy: -146.9 kJ/mol of atoms. Its crystal system is monoclinic. The value obtained for the total energy is -5.27 eV/atom.

---

(15)
Material: CsFeSe2N
Method: DFT, GGA-PBE
State: relaxed

Unit cell a=5.692 b=5.692 c=3.470 alpha=90.00 beta=90.00 gamma=90.00
Site moments in Bohr magnetons follow the coordinates.
Fractional coordinates of all 5 atoms:
1 Se 0.500 0.000 0.000  0.00
2 Se 0.000 0.500 0.000  0.00
3 N 0.000 0.000 0.500  -0.26
4 Fe 0.000 0.000 0.000  1.53
5 Cs 0.500 0.500 0.500  0.01

Results
The space group is P4/mmm. As for the uncorrected formation energy: 17.6 kJ/mol of atoms. Its crystal system is tetragonal. The value obtained for the total energy is -4.74 eV/atom.

---

(16)
Material: TbMg2Au
Method: DFT, GGA-PBE
State: relaxed

Unit cell a=5.636 b=8.214 c=16.041 alpha=90.00 beta=90.00 gamma=90.00
Fractional coordinates of all 32 atoms:
1 Au 0.048 0.750 0.932
2 Au 0.952 0.250 0.068
3 Au 0.744 0.750 0.684
4 Au 0.756 0.750 0.184
5 Au 0.256 0.250 0.316
6 Au 0.244 0.250 0.816
7 Au 0.452 0.750 0.432
8 Au 0.548 0.250 0.568
9 Mg 0.457 0.946 0.285
10 Mg 0.750 0.554 0.537
11 Mg 0.250 0.446 0.963
12 Mg 0.250 0.054 0.963
13 Mg 0.750 0.946 0.037
14 Mg 0.957 0.446 0.215
15 Mg 0.457 0.554 0.285
16 Mg 0.543 0.054 0.715
17 Mg 0.957 0.054 0.215
18 Mg 0.750 0.554 0.037
19 Mg 0.250 0.054 0.463
20 Mg 0.043 0.554 0.785
21 Mg 0.543 0.446 0.715
22 Mg 0.750 0.946 0.537
23 Mg 0.043 0.946 0.785
24 Mg 0.250 0.446 0.463
25 Tb 0.553 0.750 0.863
26 Tb 0.755 0.250 0.394
27 Tb 0.745 0.250 0.894
28 Tb 0.255 0.750 0.106
29 Tb 0.447 0.250 0.137
30 Tb 0.947 0.750 0.363
31 Tb 0.053 0.250 0.637
32 Tb 0.245 0.750 0.606

Results
As for the formation energy: -48.0 kJ per mole of atoms. The space group is Pnma. Its crystal system is orthorhombic. The value obtained for the total energy is -3.27 eV/atom.

---

(17)
Material: La5PmPr3
Method: DFT, GGA-PBE
State: relaxed

Unit cell a=9.061 b=9.061 c=10.248 alpha=116.24 beta=116.24 gamma=90.00
Fractional coordinates of all 18 atoms:
1 Pr 0.750 0.750 0.500
2 Pr 0.381 0.881 0.000
3 Pr 0.119 0.381 0.000
4 Pr 0.250 0.250 0.500
5 Pr 0.619 0.119 0.000
6 Pr 0.881 0.619 0.000
7 Pm 0.750 0.250 0.500
8 Pm 0.250 0.750 0.500
9 La 0.000 0.000 0.000
10 La 0.841 0.936 0.277
11 La 0.436 0.341 0.277
12 La 0.500 0.500 0.000
13 La 0.659 0.159 0.723
14 La 0.564 0.659 0.723
15 La 0.936 0.436 0.277
16 La 0.341 0.841 0.277
17 La 0.159 0.064 0.723
18 La 0.064 0.564 0.723

Results
As for the formation energy: 22.1 kJ per mole of atoms. The space group is I4/mcm. Its crystal system is tetragonal. The value obtained for the total energy is -4.63 eV/atom.

---

(18)
Material: Ac2Tl2PtO6
Method: DFT, GGA-PBE
State: relaxed

Unit cell a=6.264 b=6.264 c=6.651 alpha=97.23 beta=97.23 gamma=118.96
Fractional coordinates of all 11 atoms:
1 O 0.786 0.786 0.698
2 O 0.214 0.214 0.302
3 O 0.666 0.958 0.341
4 O 0.334 0.042 0.659
5 O 0.042 0.334 0.659
6 O 0.958 0.666 0.341
7 Ac 0.663 0.337 0.500
8 Ac 0.337 0.663 0.500
9 Pt 0.000 0.000 0.500
10 Tl 0.156 0.844 0.000
11 Tl 0.844 0.156 0.000

Results
The space group is C2/m. As for the uncorrected formation energy: -162.2 kJ/mol of atoms. Its crystal system is monoclinic. The value obtained for the total energy is -6.11 eV/atom.

---

(19)
Material: Tb3TlRh
Method: DFT, GGA-PBE
State: relaxed

Unit cell a=4.865 b=7.287 c=15.000 alpha=90.00 beta=90.00 gamma=90.00
Fractional coordinates of all 20 atoms:
1 Tb 0.250 0.010 0.400
2 Tb 0.750 0.135 0.043
3 Tb 0.250 0.510 0.100
4 Tb 0.750 0.803 0.224
5 Tb 0.250 0.197 0.776
6 Tb 0.750 0.303 0.276
7 Tb 0.750 0.635 0.457
8 Tb 0.750 0.990 0.600
9 Tb 0.250 0.865 0.957
10 Tb 0.250 0.697 0.724
11 Tb 0.750 0.490 0.900
12 Tb 0.250 0.365 0.543
13 Rh 0.750 0.225 0.455
14 Rh 0.250 0.275 0.955
15 Rh 0.750 0.725 0.045
16 Rh 0.250 0.775 0.545
17 Tl 0.750 0.925 0.823
18 Tl 0.250 0.075 0.177
19 Tl 0.750 0.425 0.677
20 Tl 0.250 0.575 0.323

Results
As for the formation energy: -50.7 kJ per mole of atoms. The space group is Pnma. Its crystal system is orthorhombic. The value obtained for the total energy is -5.25 eV/atom.

---

(20)
Material: SrTa3Pt
Method: DFT, GGA-PBE
State: relaxed

Unit cell a=4.763 b=4.763 c=4.763 alpha=90.00 beta=90.00 gamma=90.00
Fractional coordinates of all 5 atoms:
1 Sr 0.000 0.000 0.000
2 Ta 0.500 0.000 0.000
3 Ta 0.000 0.500 0.000
4 Ta 0.000 0.000 0.500
5 Pt 0.500 0.500 0.500

Results
As for the formation energy: 279.4 kJ per mole of atoms. The space group is Pm-3m. Its crystal system is cubic. The value obtained for the total energy is -5.76 eV/atom.

---

(21)
Material: Ac3Sm3HoTe8
Method: DFT, GGA-PBE
State: relaxed

Unit cell a=9.038 b=9.038 c=9.213 alpha=119.37 beta=90.00 gamma=120.00
Fractional coordinates of all 15 atoms:
1 Sm 0.500 0.000 0.500
2 Sm 0.500 0.500 0.500
3 Sm 0.000 0.500 0.500
4 Te 0.756 0.511 0.268
5 Te 0.244 0.489 0.732
6 Te 0.256 0.512 0.269
7 Te 0.256 0.012 0.268
8 Te 0.756 0.012 0.268
9 Te 0.244 0.988 0.732
10 Te 0.744 0.488 0.731
11 Te 0.744 0.988 0.732
12 Ac 0.000 0.000 0.000
13 Ac 0.500 0.500 0.000
14 Ac 0.000 0.500 0.000
15 Ho 0.000 0.000 0.500

Results
The space group is R-3m. As for the uncorrected formation energy: -140.4 kJ/mol of atoms. Its crystal system is trigonal. The value obtained for the total energy is -5.20 eV/atom.